# SmFe5 meta-GGA SCAN single point on PBEsol structure
# - energy of formation (eV per atom) = 0.056
# - Fermi-level density of states (states/eV/cell) = 5.91
# - total magnetic moment (μB/f.u.) = 11.63
data_SmFe5
_chemical_formula_sum 'Sm1 Fe5'
_space_group_name_H-M_alt 'P 1'
_space_group_IT_number 1
_space_group_name_Hall 'P 1'
_cell_length_a 3.889
_cell_length_b 4.932
_cell_length_c 4.932
_cell_angle_alpha 120.00
_cell_angle_beta 90.00
_cell_angle_gamma 90.00
loop_
_atom_site_label
_atom_site_fract_x
_atom_site_fract_y
_atom_site_fract_z
Sm1 0.000 0.000 0.000
Fe1 0.000 0.667 0.333
Fe2 0.000 0.333 0.667
Fe3 0.500 0.500 0.500
Fe4 0.500 0.500 0.000
Fe5 0.500 0.000 0.500